Entry 1:
A relaxed structure of SrSc2In. Source: Alexandria, functional GGA-PBEsol.

```
SrSc2In
1.0
3.442 0.000 -0.060
0.000 5.018 0.000
-1.430 0.000 6.415
In Sc Sr
1 2 1
Direct
0.000 0.500 0.500
0.812 0.000 0.705
0.188 0.000 0.295
0.500 0.500 0.000
```

Results
The calculation puts the energy relative to the lowest polymorph listed for this composition at 8.8 kJ per mole of atoms. As for the space group: No. 10.

Entry 2:
A relaxed structure of SrSc2In. Source: Alexandria, functional GGA-PBEsol.

```
SrSc2In
1.0
3.418 0.000 0.000
1.709 2.960 0.000
1.709 0.987 11.184
Sc Sr In
2 1 1
Direct
0.901 0.901 0.296
0.099 0.099 0.704
0.000 0.000 0.000
0.500 0.500 0.500
```

Results
The calculation puts the energy relative to the lowest polymorph listed for this composition at 24.8 kJ per mole of atoms. As for the space group: No. 166.

Entry 3:
A relaxed structure of SrSc2In. Source: Alexandria, functional GGA-PBEsol.

```
SrSc2In
1.0
-2.339 2.400 -0.736
-2.576 -1.456 3.441
3.228 4.465 4.306
In Sc Sr
1 2 1
Direct
0.500 0.500 0.787
0.000 0.000 0.997
0.500 0.500 0.203
0.001 0.000 0.514
```

Results
The calculation puts the energy relative to the lowest polymorph listed for this composition at 0.0 kJ per mole of atoms. As for the space group: No. 25.

| no. | D(E_F) (states/eV per atom) | total DFT energy (no corrections) (eV/atom) | E_form (kJ/mol of atoms) |
| --- | --- | --- | --- |
| 1 | 1.4797 | -4.5123 | -0.4 |
| 2 | 1.3084 | -4.3463 | 15.6 |
| 3 | 1.0978 | -4.6031 | -9.1 |